Density functional theory data (PBE) for a relaxed structure of PdW3Se.

Cell and atoms, written as extended XYZ:
```
5
Lattice="4.764 0.000 0.000 0.000 4.764 0.000 0.000 0.000 4.764" Properties=species:S:1:pos:R:3 pbc="T T T"
Pd 0.000 0.000 0.000
W 2.382 0.000 0.000
W 0.000 0.000 2.382
Se 2.382 2.382 2.382
W 0.000 2.382 0.000
```

Summary:
- offset from the most stable computed form (kJ/mol of formula units) = 353.0
- space-group type = No. 221
- formation energy from raw total energies (meV per atom) = 2383
- total DFT energy (no corrections) (eV/atom) = -7.12